# 1
Material: La2Ga7Cu12
Method: DFT, PBE
State: relaxed

Values from the calculation:
DOS at the Fermi energy   11.49 states/eV/cell
E_tot   -84.96 eV per cell
M_tot   0.000 μB per formula unit

Cell and atoms, written as CIF:
```
data_La2Ga7Cu12
_space_group_name_H-M_alt 'P -6'
_space_group_IT_number 174
_cell_length_a 9.6458
_cell_length_b 9.6458
_cell_length_c 4.0899
_cell_angle_alpha 90.00
_cell_angle_beta 90.00
_cell_angle_gamma 120.00
loop_
_space_group_symop_operation_xyz
'x,y,z'
'-x+y,-x,-z'
'-y,x-y,z'
'x,y,-z'
'-x+y,-x,z'
'-y,x-y,-z'
loop_
_atom_site_label
_atom_site_type_symbol
_atom_site_fract_x
_atom_site_fract_y
_atom_site_fract_z
La1 La 0.0000 0.0000 0.0000
La2 La 0.3333 0.6667 0.5000
Ga1 Ga 0.0339 0.5572 0.0000
Ga2 Ga 0.2717 0.0174 0.5000
Ga3 Ga 0.6667 0.3333 0.0000
Cu1 Cu 0.0221 0.7390 0.5000
Cu2 Cu 0.1461 0.3722 0.0000
Cu3 Cu 0.3739 0.1844 0.0000
Cu4 Cu 0.5629 0.4120 0.5000
```

---

# 2
Material: NdCuIr
Method: DFT, PBE
State: relaxed

Values from the calculation:
Energy relative to the lowest polymorph listed for this composition   0 meV per atom
DOS at the Fermi energy   6.18 states/eV/cell
E_tot   -76.39 eV per cell
M_tot   0.000 μB per formula unit

Cell and atoms, written as CIF:
```
data_NdCuIr
_space_group_name_H-M_alt 'I m m a'
_space_group_IT_number 74
_space_group_name_Hall '-I 2b 2'
_cell_length_a 5.1141
_cell_length_b 5.6115
_cell_length_c 7.6383
_cell_angle_alpha 90.00
_cell_angle_beta 90.00
_cell_angle_gamma 90.00
loop_
_atom_site_label
_atom_site_type_symbol
_atom_site_fract_x
_atom_site_fract_y
_atom_site_fract_z
Nd1 Nd 0.0000 0.2500 0.1264
Cu1 Cu 0.2500 0.2500 0.7500
Ir1 Ir 0.0000 0.0000 0.5000
```